Material: GdHoRu
Method: DFT, PBE
State: relaxed Values from VASP.

Summary:
- E_tot: -9.5843 eV per atom
- Energy of formation: -0.8 eV per formula unit
- V: 77.5 Å³/cell
- Energy relative to the lowest polymorph listed for this composition: 0.051 eV per atom
- N(E_F): 1.6 states/eV per cell

The structure in Quantum ESPRESSO input format:
```
&SYSTEM
  ibrav = 0, nat = 3, ntyp = 3
/
ATOMIC_SPECIES
Ru 101.07 Ru.upf
Gd 157.25 Gd.upf
Ho 164.93 Ho.upf
CELL_PARAMETERS angstrom
-3.647 1.202 2.856
0.420 -0.473 4.744
0.314 3.887 2.773
ATOMIC_POSITIONS angstrom
Ru -0.728 1.154 2.593
Gd 0.000 0.000 0.000
Ho -1.456 2.308 5.187
```

=====

Material: Y8Tl3P3S
Method: DFT, PBE
State: relaxed Values from VASP.

Summary:
- Formation energy (no corrections): -98.6 kJ per mole of atoms
- E_tot: -6.3002 eV per atom
- V: 408.3 Å³/cell
- N(E_F): 10.1 states/eV per cell

The structure in Quantum ESPRESSO input format:
```
&SYSTEM
  ibrav = 0, nat = 15, ntyp = 4
/
ATOMIC_SPECIES
Y 88.91 Y.upf
Tl 204.38 Tl.upf
P 30.97 P.upf
S 32.06 S.upf
CELL_PARAMETERS angstrom
-3.052 0.007 7.251
5.866 -4.908 -1.794
2.185 8.551 0.911
ATOMIC_POSITIONS angstrom
Y 2.951 -0.072 1.242
Y 2.048 3.722 5.126
Y 1.390 -0.080 4.853
Y 3.609 3.730 1.515
Y -1.521 2.356 5.742
Y 6.520 1.295 0.626
Y -0.008 2.352 2.146
Y 5.007 1.299 4.223
Tl 0.000 0.000 0.000
Tl 2.933 -2.454 -0.897
Tl 1.407 -2.450 2.729
P -0.434 4.279 4.081
P 2.500 1.825 3.184
P 4.025 1.822 -0.441
S 1.092 4.276 0.456
```

=====

Material: LiTaNi
Method: DFT, PBE
State: relaxed Values from VASP.

Summary:
- E_tot: -6.3815 eV per atom
- Energy of formation: 0.4 eV per formula unit
- V: 40.7 Å³/cell
- Energy relative to the lowest polymorph listed for this composition: 0.000 eV per atom
- N(E_F): 3.6 states/eV per cell

The structure in Quantum ESPRESSO input format:
```
&SYSTEM
  ibrav = 0, nat = 3, ntyp = 3
/
ATOMIC_SPECIES
Li 6.94 Li.upf
Ni 58.69 Ni.upf
Ta 180.95 Ta.upf
CELL_PARAMETERS angstrom
-2.393 -3.420 0.582
3.769 -0.356 -1.852
1.125 -0.385 2.363
ATOMIC_POSITIONS angstrom
Li 0.137 -0.047 0.288
Ni 1.956 -1.460 -0.534
Ta 0.408 -2.654 1.340
```

=====

Material: CuHgTe2
Method: DFT, PBE
State: relaxed Values from VASP.

Summary:
- Formation energy (no corrections): 1.5 kJ per mole of atoms
- E_tot: -2.6549 eV per atom
- V: 108.4 Å³/cell
- N(E_F): 1.8 states/eV per cell

The structure in Quantum ESPRESSO input format:
```
&SYSTEM
  ibrav = 0, nat = 4, ntyp = 3
/
ATOMIC_SPECIES
Te 127.60 Te.upf
Hg 200.59 Hg.upf
Cu 63.55 Cu.upf
CELL_PARAMETERS angstrom
3.507 -2.025 0.000
0.000 4.050 0.000
0.000 0.000 7.635
ATOMIC_POSITIONS angstrom
Te 1.169 2.025 6.254
Te 2.338 0.000 1.492
Hg 1.169 2.025 3.451
Cu 0.000 0.000 7.548
```

=====

Material: YSnNF2
Method: DFT, PBE
State: relaxed Values from VASP.

Summary:
- Formation energy (no corrections): -102.5 kJ per mole of atoms
- E_tot: -5.5691 eV per atom
- V: 85.2 Å³/cell
- Energy relative to the lowest polymorph listed for this composition: 0.680 eV per atom
- N(E_F): 2.0 states/eV per cell

The structure in Quantum ESPRESSO input format:
```
&SYSTEM
  ibrav = 0, nat = 5, ntyp = 4
/
ATOMIC_SPECIES
Y 88.91 Y.upf
N 14.01 N.upf
Sn 118.71 Sn.upf
F 19.00 F.upf
CELL_PARAMETERS angstrom
-2.802 -2.247 -2.633
2.986 -3.282 -0.376
-1.690 -1.932 3.446
ATOMIC_POSITIONS angstrom
Y -0.753 -3.730 0.219
N -0.845 -0.966 1.723
Sn 0.000 0.000 0.000
F 1.493 -1.641 -0.188
F -1.401 -1.123 -1.317
```

=====

Material: Cs2TlCd3In4
Method: DFT, PBE
State: relaxed Values from VASP.

Summary:
- E_tot: -1.8353 eV per atom
- Energy of formation: -0.6 eV per formula unit
- V: 337.8 Å³/cell
- N(E_F): 6.3 states/eV per cell

The structure in Quantum ESPRESSO input format:
```
&SYSTEM
  ibrav = 0, nat = 10, ntyp = 4
/
ATOMIC_SPECIES
Cs 132.91 Cs.upf
Tl 204.38 Tl.upf
Cd 112.41 Cd.upf
In 114.82 In.upf
CELL_PARAMETERS angstrom
-2.310 -3.739 -2.664
4.586 -2.022 -1.137
-0.550 -7.187 10.562
ATOMIC_POSITIONS angstrom
Cs -1.292 -3.662 1.302
Cs 1.880 -6.405 7.359
Tl 0.863 -6.474 3.380
Cd -0.275 -3.593 5.281
Cd -1.634 -8.128 7.865
Cd 2.222 -1.940 0.796
In 1.138 -2.881 -1.901
In 0.000 0.000 0.000
In -1.503 -6.422 5.359
In 2.091 -3.645 3.303
```

=====

Material: Pm6Ir3Pt
Method: DFT, PBE
State: relaxed Values from VASP.

Summary:
- E_tot: -6.7673 eV per atom
- Energy of formation: -6.5 eV per formula unit
- V: 551.6 Å³/cell
- Energy relative to the lowest polymorph listed for this composition: 0.041 eV per atom
- N(E_F): 12.4 states/eV per cell

The structure in Quantum ESPRESSO input format:
```
&SYSTEM
  ibrav = 0, nat = 20, ntyp = 3
/
ATOMIC_SPECIES
Pm 145.00 Pm.upf
Ir 192.22 Ir.upf
Pt 195.08 Pt.upf
CELL_PARAMETERS angstrom
0.045 -7.079 0.011
0.446 -0.009 -7.560
10.275 -0.262 0.606
ATOMIC_POSITIONS angstrom
Pm 9.717 -4.941 -0.728
Pm 6.158 -4.934 -0.928
Pm 2.763 -4.834 -3.147
Pm 8.003 -2.516 -3.796
Pm 4.607 -2.416 -6.015
Pm 1.048 -2.409 -6.215
Pm 4.627 -1.272 -2.212
Pm 1.069 -1.265 -2.432
Pm 7.710 -1.423 -0.022
Pm 3.055 -5.927 -6.921
Pm 9.697 -6.085 -4.511
Pm 6.139 -6.078 -4.731
Ir 8.372 -3.991 -6.257
Ir 0.246 -3.544 -3.774
Ir 2.394 -3.359 -0.686
Ir 3.086 -0.318 -4.442
Ir 5.137 -0.131 0.303
Ir 7.679 -7.032 -2.501
Pt 5.383 -3.675 -3.471
Pt 0.000 0.000 0.000
```

=====

Material: MgAu3S
Method: DFT, PBE
State: relaxed Values from VASP.

Summary:
- Formation energy (no corrections): 32.9 kJ per mole of atoms
- E_tot: -2.7702 eV per atom
- V: 115.0 Å³/cell
- Energy relative to the lowest polymorph listed for this composition: 0.000 eV per atom
- N(E_F): 5.1 states/eV per cell

The structure in Quantum ESPRESSO input format:
```
&SYSTEM
  ibrav = 0, nat = 5, ntyp = 3
/
ATOMIC_SPECIES
S 32.06 S.upf
Au 196.97 Au.upf
Mg 24.30 Mg.upf
CELL_PARAMETERS angstrom
-3.986 1.824 -2.103
1.173 -2.232 -4.158
-2.525 -3.916 1.390
ATOMIC_POSITIONS angstrom
S 0.000 0.000 0.000
Au 0.586 -1.116 -2.079
Au -1.263 -1.958 0.695
Au -1.993 0.912 -1.052
Mg -2.669 -2.162 -2.436
```